Material: PrTm2Lu
Method: DFT, GGA-PBE
State: optimized geometry

Its total energy is -52.831 eV for the cell shown. Its crystal system is trigonal. The calculation puts the spin magnetization at 0.00 μB/f.u. For the energy of formation, the calculation gives 0.63 eV/f.u.

The space group is R-3m (No. 166, hexagonal axes) and the conventional cell measures 3.4445, 3.4445 and 36.8864 Å, with angles of 90.00, 90.00 and 120.00 degrees. The distinct sites, in fractional coordinates, are Pr at (0.0000, 0.0000, 0.0000), Tm at (0.0000, 0.0000, 0.0916) and Lu at (0.0000, 0.0000, 0.5000).